VASP calculation (PBE) on Zn2SnC after structural relaxation.

```
8
Lattice="6.068 0.000 0.000 0.000 6.068 0.000 3.034 3.034 4.328" Properties=species:S:1:pos:R:3 pbc="T T T"
C 3.034 6.068 2.164
C 3.034 3.034 0.000
Zn 4.551 5.606 3.246
Zn 2.572 4.551 1.082
Zn 7.585 6.530 3.246
Zn 3.496 1.517 1.082
Sn 6.068 3.034 2.164
Sn 0.000 0.000 0.000
```

Output
Fermi-level density of states (states/eV/f.u.): 1.4
Excess energy over the best structure of this formula in the dataset (eV/atom): 0.000
Space-group type: I-42d (122)
Uncorrected energy (eV for the cell shown): -26.1